# MgWBr2

MgWBr2 at its PBEsol-relaxed geometry (meta-GGA SCAN, Alexandria via LeMat-Bulk).

abc: 3.2827 3.2827 9.9470
angles: 90.00 90.00 124.05
With the nearest neighbours (Å) after each atom.
Element x y z (fractional)
Mg (0.0000, 0.0000, 0.0000)  6 Mg 3.08-3.28, 4 Br 3.29
W (0.0000, 0.0000, 0.5000)  4 Br 2.57
Br (0.5000, 0.5000, 0.2928)  2 W 2.57
Br (0.5000, 0.5000, 0.7072)  2 W 2.57

Its crystal system is orthorhombic. Its uncorrected formation energy is 0.49 eV per atom. The energy relative to the lowest polymorph listed for this composition is 145 meV per atom.



# Be3Au

Be3Au at its PBEsol-relaxed geometry (meta-GGA SCAN, Alexandria via LeMat-Bulk).

abc: 3.4710 3.4710 3.4710
angles: 90.00 90.00 90.00
With the nearest neighbours (Å) after each atom.
Element x y z (fractional)
Be (0.0000, 0.0000, 0.5000)  8 Be 2.45, 4 Au 2.45
Be (0.0000, 0.5000, 0.0000)  8 Be 2.45, 4 Au 2.45
Be (0.5000, 0.0000, 0.0000)  8 Be 2.45, 4 Au 2.45
Au (0.5000, 0.5000, 0.5000)  12 Be 2.45

Its crystal system is cubic. As for the formation energy: -214 meV/atom.



# Be2InAs

Be2InAs at its PBEsol-relaxed geometry (meta-GGA SCAN, Alexandria via LeMat-Bulk).

abc: 5.9627 5.9627 5.9627
angles: 147.07 146.68 47.55
With the nearest neighbours (Å) after each atom.
Element x y z (fractional)
Be (0.0000, 0.0000, 0.0000)  2 Be 2.29, 4 As 2.40
Be (0.6402, 0.1402, 0.5000)  2 As 2.29, 2 Be 2.29
In (0.2692, 0.7692, 0.5000)  6 Be 2.79-3.04, 2 As 3.02
As (0.4989, 0.4989, 0.0000)  6 Be 2.29-2.40

Its crystal system is orthorhombic. The energy relative to the lowest polymorph listed for this composition is 49 meV per atom. As for the formation energy: 283 meV/atom.



# Nb3CdSi

Nb3CdSi at its PBEsol-relaxed geometry (meta-GGA SCAN, Alexandria via LeMat-Bulk).

abc: 4.8883 4.8883 4.8883
angles: 90.00 90.00 90.00
With the nearest neighbours (Å) after each atom.
Element x y z (fractional)
Nb (0.0000, 0.0000, 0.5000)  2 Cd 2.44
Nb (0.0000, 0.5000, 0.0000)  2 Cd 2.44
Nb (0.5000, 0.0000, 0.0000)  2 Cd 2.44
Cd (0.0000, 0.0000, 0.0000)  6 Nb 2.44
Si (0.5000, 0.5000, 0.5000)  12 Nb 3.46

Its crystal system is cubic. Its uncorrected formation energy is 2.03 eV per atom.



# ScIr3N

ScIr3N at its PBEsol-relaxed geometry (meta-GGA SCAN, Alexandria via LeMat-Bulk).

abc: 4.6629 4.6629 4.6629
angles: 90.00 90.00 90.00
With the nearest neighbours (Å) after each atom.
Element x y z (fractional)
Sc (0.0000, 0.0000, 0.0000)  6 Ir 2.33
Ir (0.0000, 0.0000, 0.5000)  2 Sc 2.33
Ir (0.0000, 0.5000, 0.0000)  2 Sc 2.33
Ir (0.5000, 0.0000, 0.0000)  2 Sc 2.33
N (0.5000, 0.5000, 0.5000)  12 Ir 3.30

Its crystal system is cubic. Its uncorrected formation energy is 2.97 eV per atom.



# Ca2FeRe

Ca2FeRe at its PBEsol-relaxed geometry (meta-GGA SCAN, Alexandria via LeMat-Bulk).

abc: 4.8824 4.8824 4.8824
angles: 58.94 58.94 58.94
With the nearest neighbours (Å) after each atom.
Element x y z (fractional)
Ca (0.2504, 0.2504, 0.2504)  4 Fe 2.95-3.02, 4 Re 2.95-3.01
Ca (0.7496, 0.7496, 0.7496)  4 Fe 2.95-3.02, 4 Re 2.95-3.01
Fe (0.0000, 0.0000, 0.0000)  8 Ca 2.95-3.02
Re (0.5000, 0.5000, 0.5000)  8 Ca 2.95-3.01

Its crystal system is trigonal. The energy relative to the lowest polymorph listed for this composition is 639 meV per atom. As for the formation energy: 1085 meV/atom.



# La3CoP

La3CoP at its PBEsol-relaxed geometry (meta-GGA SCAN, Alexandria via LeMat-Bulk).

abc: 5.4765 5.4765 5.4765
angles: 90.00 90.00 90.00
With the nearest neighbours (Å) after each atom.
Element x y z (fractional)
La (0.0000, 0.0000, 0.5000)  2 P 2.74
La (0.0000, 0.5000, 0.0000)  2 P 2.74
La (0.5000, 0.0000, 0.0000)  2 P 2.74
Co (0.5000, 0.5000, 0.5000)  12 La 3.87
P (0.0000, 0.0000, 0.0000)  6 La 2.74

Its crystal system is cubic. As for the formation energy: -168 meV/atom.



# MnTlCd2

MnTlCd2 at its PBEsol-relaxed geometry (meta-GGA SCAN, Alexandria via LeMat-Bulk).

abc: 3.0632 3.0631 8.7621
angles: 90.00 93.66 90.00
With the nearest neighbours (Å) after each atom.
Element x y z (fractional)
Mn (0.0000, 0.0000, 0.0000)  8 Cd 2.81-2.82, 4 Mn 3.06
Tl (0.0000, 0.0000, 0.5000)  4 Tl 3.06, 4 Cd 3.25
Cd (0.4647, 0.5000, 0.7940)  4 Mn 2.81-2.82, 4 Cd 3.06
Cd (0.5353, 0.5000, 0.2060)  4 Mn 2.81-2.82, 4 Cd 3.06

Its crystal system is monoclinic. The energy relative to the lowest polymorph listed for this composition is 0 meV per atom. As for the formation energy: 55 meV/atom.